Entry 1:
# CuSe2BrF PBE optimized geometry
data_CuSe2BrF
_chemical_formula_sum 'Cu1 Se2 Br1 F1'
_symmetry_space_group_name_H-M 'P 4/m m m'
_symmetry_Int_Tables_number 123
_symmetry_space_group_name_Hall '-P 4 2'
_cell_length_a 4.2357
_cell_length_b 4.2357
_cell_length_c 6.9503
_cell_angle_alpha 90.00
_cell_angle_beta 90.00
_cell_angle_gamma 90.00
loop_
_atom_site_label
_atom_site_type_symbol
_atom_site_fract_x
_atom_site_fract_y
_atom_site_fract_z
Cu1 Cu 0.0000 0.0000 0.0000
Se1 Se 0.0000 0.5000 0.5000
Br1 Br 0.5000 0.5000 0.0000
F1 F 0.5000 0.5000 0.5000
# - Formation energy without anion corrections: 0.4185 eV per atom
# - V: 124.7 Å³ per cell
# - Crystal system: tetragonal
# - M_tot: 0.00 μB per formula unit
# - Offset from the most stable computed form: 108.4 meV per atom
# - N(E_F): 5.3 states/eV/cell
# - Uncorrected energy: -2.50 eV/atom


Entry 2:
# CuSe2BrF PBE optimized geometry
data_CuSe2BrF
_chemical_formula_sum 'Cu1 Se2 Br1 F1'
_symmetry_space_group_name_H-M 'P 4/m m m'
_symmetry_Int_Tables_number 123
_symmetry_space_group_name_Hall '-P 4 2'
_cell_length_a 4.7325
_cell_length_b 4.7325
_cell_length_c 4.8790
_cell_angle_alpha 90.00
_cell_angle_beta 90.00
_cell_angle_gamma 90.00
loop_
_atom_site_label
_atom_site_type_symbol
_atom_site_fract_x
_atom_site_fract_y
_atom_site_fract_z
Cu1 Cu 0.0000 0.0000 0.0000
Se1 Se 0.0000 0.5000 0.0000
Br1 Br 0.0000 0.0000 0.5000
F1 F 0.5000 0.5000 0.5000
# - Formation energy without anion corrections: 0.3101 eV per atom
# - V: 109.3 Å³ per cell
# - Crystal system: tetragonal
# - M_tot: 0.01 μB per formula unit
# - Offset from the most stable computed form: 0.0 meV per atom
# - N(E_F): 5.8 states/eV/cell
# - Uncorrected energy: -2.61 eV/atom


Entry 3:
# Cu3SnBr2F6 PBE optimized geometry
data_Cu3SnBr2F6
_chemical_formula_sum 'Cu6 Sn2 Br4 F12'
_symmetry_space_group_name_H-M 'C 1 2/m 1'
_symmetry_Int_Tables_number 12
_cell_length_a 14.4114
_cell_length_b 5.9103
_cell_length_c 5.0442
_cell_angle_alpha 90.00
_cell_angle_beta 94.20
_cell_angle_gamma 90.00
loop_
_symmetry_equiv_pos_as_xyz
'x,y,z'
'-x,-y,-z'
'-x,y,-z'
'x,-y,z'
'x+1/2,y+1/2,z'
'-x+1/2,-y+1/2,-z'
'-x+1/2,y+1/2,-z'
'x+1/2,-y+1/2,z'
loop_
_atom_site_label
_atom_site_type_symbol
_atom_site_fract_x
_atom_site_fract_y
_atom_site_fract_z
Cu1 Cu 0.0000 0.0000 0.0000
Cu2 Cu 0.2500 0.2500 0.5000
Sn1 Sn 0.0000 0.5000 0.5000
Br1 Br 0.1948 0.0000 0.1743
F1 F 0.0430 0.2517 0.7581
F2 F 0.1263 0.5000 0.3620
# - Formation energy without anion corrections: -1.4668 eV per atom
# - V: 428.5 Å³ per cell
# - Crystal system: monoclinic
# - M_tot: 1.04 μB per formula unit
# - N(E_F): 16.2 states/eV/cell
# - Uncorrected energy: -4.04 eV/atom